Entry from Alexandria: crystalline Ta2ZnB2Ru5 at its relaxed geometry (PBE).

Structure (POSCAR):
```
Ta2ZnB2Ru5
1.0
9.2732 0.0000 0.0000
0.0000 9.2732 0.0000
0.0000 0.0000 3.0277
Ta Zn B Ru
4 2 4 10
Direct
0.1769 0.3231 0.0000
0.3231 0.8231 0.0000
0.6769 0.1769 0.0000
0.8231 0.6769 0.0000
0.0000 0.0000 0.0000
0.5000 0.5000 0.0000
0.1260 0.6260 0.0000
0.3740 0.1260 0.0000
0.6260 0.8740 0.0000
0.8740 0.3740 0.0000
0.0000 0.5000 0.5000
0.0708 0.7842 0.5000
0.2158 0.0708 0.5000
0.2842 0.5708 0.5000
0.4292 0.2842 0.5000
0.5000 0.0000 0.5000
0.5708 0.7158 0.5000
0.7158 0.4292 0.5000
0.7842 0.9292 0.5000
0.9292 0.2158 0.5000
```

- electronic total energy (eV/cell) = -178.38



Entry from Alexandria: crystalline Zr2TaB2Ru5 at its relaxed geometry (PBE).

Structure (POSCAR):
```
Zr2TaB2Ru5
1.0
9.5181 0.0000 0.0000
0.0000 9.5181 0.0000
0.0000 0.0000 3.1105
Zr Ta B Ru
4 2 4 10
Direct
0.1758 0.3242 0.0000
0.3242 0.8242 0.0000
0.6758 0.1758 0.0000
0.8242 0.6758 0.0000
0.0000 0.0000 0.0000
0.5000 0.5000 0.0000
0.1210 0.6210 0.0000
0.3790 0.1210 0.0000
0.6210 0.8790 0.0000
0.8790 0.3790 0.0000
0.0000 0.5000 0.5000
0.0703 0.7817 0.5000
0.2183 0.0703 0.5000
0.2817 0.5703 0.5000
0.4297 0.2817 0.5000
0.5000 0.0000 0.5000
0.5703 0.7183 0.5000
0.7183 0.4297 0.5000
0.7817 0.9297 0.5000
0.9297 0.2183 0.5000
```

- electronic total energy (eV/cell) = -190.37